(1)
# Ti2BiP2 (PBE, relaxed)
# DFT formation energy in eV/atom: -0.5231
data_Ti2BiP2
_chemical_formula_sum 'Ti4 Bi2 P4'
_symmetry_space_group_name_H-M 'I 4/m m m'
_symmetry_Int_Tables_number 139
_symmetry_space_group_name_Hall '-I 4 2'
_cell_length_a 3.613
_cell_length_b 3.613
_cell_length_c 13.439
_cell_angle_alpha 90.00
_cell_angle_beta 90.00
_cell_angle_gamma 90.00
loop_
_atom_site_label
_atom_site_type_symbol
_atom_site_fract_x
_atom_site_fract_y
_atom_site_fract_z
Ti1 Ti 0.000 0.000 0.118
Bi1 Bi 0.000 0.000 0.500
P1 P 0.000 0.500 0.250

=====

(2)
# Ba2SnHPd (PBE, relaxed)
# E_tot in eV per cell: -18.9
data_Ba2SnHPd
_chemical_formula_sum 'Ba2 Sn1 H1 Pd1'
_symmetry_space_group_name_H-M 'P 4/m m m'
_symmetry_Int_Tables_number 123
_symmetry_space_group_name_Hall '-P 4 2'
_cell_length_a 6.040
_cell_length_b 6.040
_cell_length_c 3.799
_cell_angle_alpha 90.00
_cell_angle_beta 90.00
_cell_angle_gamma 90.00
loop_
_atom_site_label
_atom_site_type_symbol
_atom_site_fract_x
_atom_site_fract_y
_atom_site_fract_z
Ba1 Ba 0.000 0.500 0.000
Sn1 Sn 0.000 0.000 0.500
H1 H 0.500 0.500 0.000
Pd1 Pd 0.500 0.500 0.500

=====

(3)
# ErCoSi3Ni (PBE, relaxed)
# Formation energy (no corrections) in kJ per mole of atoms: -36
data_ErCoSi3Ni
_chemical_formula_sum 'Er4 Co4 Si12 Ni4'
_symmetry_space_group_name_H-M 'C m c m'
_symmetry_Int_Tables_number 63
_symmetry_space_group_name_Hall '-C 2c 2'
_cell_length_a 5.936
_cell_length_b 12.434
_cell_length_c 5.437
_cell_angle_alpha 90.00
_cell_angle_beta 90.00
_cell_angle_gamma 90.00
loop_
_atom_site_label
_atom_site_type_symbol
_atom_site_fract_x
_atom_site_fract_y
_atom_site_fract_z
Er1 Er 0.000 0.202 0.250
Co1 Co 0.000 0.045 0.750
Si1 Si 0.000 0.217 0.750
Si2 Si 0.209 0.500 0.000
Ni1 Ni 0.000 0.387 0.750

=====

(4)
# Mg3Zn4Ru (PBE, relaxed)
# DFT formation energy in eV/atom: -0.0897
data_Mg3Zn4Ru
_chemical_formula_sum 'Mg6 Zn8 Ru2'
_symmetry_space_group_name_H-M 'C 1 2/m 1'
_symmetry_Int_Tables_number 12
_cell_length_a 6.087
_cell_length_b 6.092
_cell_length_c 7.633
_cell_angle_alpha 90.00
_cell_angle_beta 113.40
_cell_angle_gamma 90.00
loop_
_symmetry_equiv_pos_as_xyz
'x,y,z'
'-x,-y,-z'
'-x,y,-z'
'x,-y,z'
'x+1/2,y+1/2,z'
'-x+1/2,-y+1/2,-z'
'-x+1/2,y+1/2,-z'
'x+1/2,-y+1/2,z'
loop_
_atom_site_label
_atom_site_type_symbol
_atom_site_fract_x
_atom_site_fract_y
_atom_site_fract_z
Mg1 Mg 0.000 0.000 0.000
Mg2 Mg 0.241 0.500 0.482
Zn1 Zn 0.134 0.250 0.768
Ru1 Ru 0.000 0.500 0.000

=====

(5)
# Ho2TlI2 (PBE, relaxed)
# Formation energy (no corrections) in kJ per mole of atoms: -84
data_Ho2TlI2
_chemical_formula_sum 'Ho6 Tl3 I6'
_symmetry_space_group_name_H-M 'R -3 m'
_symmetry_Int_Tables_number 166
_symmetry_space_group_name_Hall '-R 3 2"'
_cell_length_a 4.1605
_cell_length_b 4.1605
_cell_length_c 36.1839
_cell_angle_alpha 90.00
_cell_angle_beta 90.00
_cell_angle_gamma 120.00
loop_
_atom_site_label
_atom_site_type_symbol
_atom_site_fract_x
_atom_site_fract_y
_atom_site_fract_z
Ho1 Ho 0.0000 0.0000 0.1131
Tl1 Tl 0.0000 0.0000 0.5000
I1 I 0.0000 0.0000 0.2750

=====

(6)
# NpSn2Au (PBE, relaxed)
# DFT formation energy in eV/atom: 0.0848
data_NpSn2Au
_chemical_formula_sum 'Np4 Sn8 Au4'
_symmetry_space_group_name_H-M 'F m -3 m'
_symmetry_Int_Tables_number 225
_symmetry_space_group_name_Hall '-F 4 2 3'
_cell_length_a 7.270
_cell_length_b 7.270
_cell_length_c 7.270
_cell_angle_alpha 90.00
_cell_angle_beta 90.00
_cell_angle_gamma 90.00
loop_
_atom_site_label
_atom_site_type_symbol
_atom_site_fract_x
_atom_site_fract_y
_atom_site_fract_z
Np1 Np 0.000 0.000 0.000
Sn1 Sn 0.250 0.250 0.250
Au1 Au 0.000 0.000 0.500